No. 1
LiDy2Ni4P3 (PBE, optimized geometry); final energy = -5.984 eV/atom; DFT formation energy = -937 meV per atom; N(E_F) = 3.95 states/eV per cell
1.0
-2.989 2.323 -0.965
-2.214 -3.141 -0.703
-2.833 0.021 8.827
Li Dy Ni P
1 2 4 3
Direct
0.500 0.500 0.500
0.500 0.000 0.245
0.000 0.500 0.755
0.500 0.500 0.000
0.000 0.000 0.000
0.500 0.000 0.626
0.000 0.500 0.374
0.000 0.000 0.500
0.500 0.000 0.864
0.000 0.500 0.136

=====

No. 2
Ca3Cu2Br2O4 (PBE, optimized geometry); final energy = -5.259 eV/atom; formation energy without anion corrections = -1.8612 eV/atom; N(E_F) = 1.98 states/eV per cell
1.0
-2.733 2.151 1.721
-1.703 -3.225 1.326
9.122 1.108 8.724
O Ca Cu Br
4 3 2 2
Direct
0.065 0.565 0.131
0.935 0.435 0.869
0.565 0.065 0.131
0.435 0.935 0.869
0.872 0.872 0.744
0.128 0.128 0.256
0.000 0.000 0.000
0.563 0.563 0.127
0.437 0.437 0.873
0.686 0.686 0.372
0.314 0.314 0.628

=====

No. 3
Pm4Nd4In (PBE, optimized geometry); final energy = -4.607 eV/atom; DFT formation energy = -72 meV per atom; N(E_F) = 12.84 states/eV per cell
1.0
-4.678 -0.295 1.826
-5.131 -0.361 -6.277
-1.840 -7.847 0.948
Pm Nd In
4 4 1
Direct
0.667 0.333 0.333
0.333 0.667 0.667
0.000 0.667 0.333
0.000 0.333 0.667
0.661 0.679 0.000
0.339 0.321 0.000
0.661 0.000 0.679
0.339 0.000 0.321
0.000 0.000 0.000

=====

No. 4
InReB2Ru (PBE, optimized geometry); final energy = -6.346 eV/atom; DFT formation energy = 1217 meV per atom; N(E_F) = 2.81 states/eV per cell
1.0
-1.337 2.508 2.890
-4.625 -0.282 -1.894
-0.786 -3.176 2.393
Re B Ru In
1 2 1 1
Direct
0.000 0.500 0.000
0.000 0.000 0.500
0.500 0.000 0.000
0.000 0.000 0.000
0.500 0.500 0.500

=====

No. 5
ScCoAg2 (PBE, optimized geometry); final energy = -4.467 eV/atom; DFT formation energy = 318 meV per atom; N(E_F) = 4.25 states/eV per cell
1.0
9.448 -0.007 -0.004
8.996 2.890 -0.004
8.996 1.406 2.525
Ag Co Sc
2 1 1
Direct
0.994 0.994 0.994
0.506 0.506 0.506
0.250 0.250 0.250
0.750 0.750 0.750

=====

No. 6
ErSc2Bi3 (PBE, optimized geometry); final energy = -5.514 eV/atom; DFT formation energy = -703 meV per atom; N(E_F) = 3.42 states/eV per cell
1.0
-3.285 -2.275 4.654
-3.283 -6.016 -5.258
9.806 -7.988 3.017
Er Sc Bi
4 8 12
Direct
0.250 0.874 0.079
0.250 0.374 0.421
0.750 0.626 0.579
0.750 0.126 0.921
0.251 0.875 0.755
0.251 0.375 0.745
0.250 0.875 0.415
0.250 0.375 0.085
0.750 0.625 0.915
0.750 0.125 0.585
0.749 0.625 0.255
0.749 0.125 0.245
0.250 0.634 0.587
0.250 0.134 0.913
0.250 0.615 0.913
0.250 0.115 0.587
0.249 0.625 0.251
0.249 0.125 0.249
0.751 0.875 0.751
0.751 0.375 0.749
0.750 0.885 0.413
0.750 0.385 0.087
0.750 0.866 0.087
0.750 0.366 0.413

=====

No. 7
SrRu2RhBr (PBE, optimized geometry); final energy = -4.682 eV/atom; formation energy without anion corrections = 1.1700 eV/atom; N(E_F) = 7.05 states/eV per cell
1.0
4.589 0.000 0.000
0.000 5.527 0.000
0.000 0.000 4.589
Ru Rh Br Sr
2 1 1 1
Direct
0.000 0.000 0.500
0.500 0.000 0.000
0.500 0.500 0.500
0.000 0.000 0.000
0.000 0.500 0.000

=====

No. 8
TmScHg (PBE, optimized geometry); final energy = -3.892 eV/atom; DFT formation energy = -191 meV per atom; ΔE to the lowest computed polymorph = 12.10 kJ per mole of atoms; N(E_F) = 3.62 states/eV per cell
1.0
-1.554 -0.424 3.149
-1.697 -4.436 -1.434
4.418 0.364 2.229
Sc Tm Hg
1 1 1
Direct
0.119 0.000 0.000
0.642 0.667 0.333
0.239 0.333 0.667

=====

No. 9
Ho4ZrIn (PBE, optimized geometry); final energy = -4.600 eV/atom; DFT formation energy = 333 meV per atom; N(E_F) = 8.94 states/eV per cell
1.0
5.133 0.000 -0.001
0.000 5.134 -0.002
0.004 0.006 7.439
Ho Zr In
4 1 1
Direct
0.501 0.997 0.255
0.501 0.998 0.742
0.001 0.497 0.742
0.001 0.497 0.255
0.001 0.997 0.498
0.501 0.497 0.998

=====

No. 10
BaScIr2 (PBE, optimized geometry); final energy = -6.790 eV/atom; DFT formation energy = -296 meV per atom; ΔE to the lowest computed polymorph = 0.00 kJ per mole of atoms; N(E_F) = 1.04 states/eV per cell
1.0
-0.954 -2.489 1.976
0.700 -2.137 -2.354
7.997 -2.770 0.373
Ba Ir Sc
1 2 1
Direct
0.500 0.750 0.750
0.000 0.947 0.054
0.000 0.553 0.446
0.500 0.250 0.250

=====

No. 11
SrLa14Y (PBE, optimized geometry); final energy = -4.785 eV/atom; DFT formation energy = 36 meV per atom; N(E_F) = 26.12 states/eV per cell
1.0
-3.541 6.144 2.431
-3.129 -3.983 5.526
8.185 2.244 6.251
Sr La Y
1 14 1
Direct
0.874 0.126 0.000
0.374 0.626 0.500
0.876 0.124 0.500
0.876 0.626 0.000
0.874 0.624 0.500
0.374 0.124 0.000
0.376 0.126 0.500
0.616 0.866 0.745
0.616 0.866 0.255
0.134 0.384 0.745
0.134 0.384 0.255
0.133 0.867 0.744
0.133 0.867 0.256
0.617 0.383 0.745
0.617 0.383 0.255
0.375 0.625 0.000

=====

No. 12
PrErGeH (PBE, optimized geometry); final energy = -4.956 eV/atom; N(E_F) = 6.43 states/eV per cell
1.0
-1.461 -4.179 0.334
0.493 0.180 4.409
-7.933 2.836 0.770
Pr Er Ge H
2 2 2 2
Direct
0.500 0.000 0.628
0.000 0.500 0.372
0.500 0.500 0.000
0.000 0.000 0.000
0.000 0.500 0.771
0.500 0.000 0.229
0.000 0.000 0.500
0.500 0.500 0.500

=====

No. 13
AcPb4Au4 (PBE, optimized geometry); final energy = -3.855 eV/atom; DFT formation energy = -294 meV per atom; N(E_F) = 6.09 states/eV per cell
1.0
-3.093 -2.625 2.834
-3.202 -5.080 -8.201
7.260 -6.960 1.476
Ac Pb Au
2 8 8
Direct
0.000 0.000 0.000
0.500 0.500 0.500
0.500 0.365 0.851
0.000 0.649 0.865
0.500 0.635 0.149
0.000 0.135 0.649
0.500 0.851 0.635
0.000 0.865 0.351
0.000 0.351 0.135
0.500 0.149 0.365
0.500 0.919 0.194
0.500 0.081 0.806
0.000 0.694 0.581
0.000 0.419 0.694
0.000 0.581 0.306
0.500 0.194 0.081
0.500 0.806 0.919
0.000 0.306 0.419

=====

No. 14
Ac4Cd3Sn (PBE, optimized geometry); final energy = -3.271 eV/atom; DFT formation energy = -373 meV per atom; N(E_F) = 8.91 states/eV per cell
1.0
-2.533 -2.880 -1.298
1.542 0.325 -3.730
11.310 -11.598 3.665
Ac Sn Cd
4 1 3
Direct
0.000 0.000 0.874
0.000 0.000 0.126
0.000 0.000 0.377
0.000 0.000 0.623
0.500 0.500 0.000
0.500 0.500 0.254
0.500 0.500 0.500
0.500 0.500 0.746

=====

No. 15
Rb6TeI3Cl2 (PBE, optimized geometry); final energy = -2.882 eV/atom; formation energy without anion corrections = -1.4414 eV/atom; N(E_F) = 3.66 states/eV per cell
1.0
5.018 0.000 0.000
0.000 10.441 0.558
-2.509 -2.816 10.712
Rb Te I Cl
6 1 3 2
Direct
0.329 0.888 0.658
0.672 0.573 0.344
0.671 0.112 0.342
0.014 0.261 0.028
0.986 0.739 0.972
0.328 0.427 0.656
0.500 0.000 0.000
0.500 0.500 0.000
0.839 0.164 0.678
0.161 0.836 0.322
0.828 0.655 0.655
0.172 0.345 0.345

=====

No. 16
Dy2LuO (PBE, optimized geometry); final energy = -6.017 eV/atom; ΔE to the lowest computed polymorph = 0.00 kJ per mole of atoms; formation energy without anion corrections = -1.3462 eV/atom; N(E_F) = 3.91 states/eV per cell
1.0
-2.203 -1.443 -2.341
-0.627 -3.466 0.076
-7.489 -0.335 4.601
Lu O Dy
1 1 2
Direct
0.500 0.500 0.500
0.000 0.000 0.000
0.719 0.719 0.842
0.281 0.281 0.158

=====

No. 17
AlVAu2 (PBE, optimized geometry); final energy = -4.980 eV/atom; DFT formation energy = -126 meV per atom; N(E_F) = 2.52 states/eV per cell
1.0
-1.144 -0.431 -2.709
0.547 -2.912 0.232
-6.576 -1.002 2.937
Au Al V
2 1 1
Direct
0.000 0.000 0.755
0.000 0.000 0.245
0.500 0.500 0.000
0.500 0.500 0.500

=====

No. 18
Cs2Se4S5 (PBE, optimized geometry); final energy = -3.670 eV/atom; formation energy without anion corrections = -0.3719 eV/atom
1.0
-8.957 -7.726 -12.837
1.181 -4.778 3.427
2.444 6.675 10.645
Cs Se S
2 4 5
Direct
0.584 0.631 0.437
0.417 0.273 0.562
0.220 0.731 0.615
0.712 0.221 0.298
0.038 0.065 0.676
0.874 0.880 0.163
0.163 0.762 0.079
0.955 0.405 0.098
0.436 0.926 0.010
0.258 0.049 0.099
0.842 0.056 0.964

=====

No. 19
Cr5W (PBE, optimized geometry); final energy = -10.131 eV/atom; DFT formation energy = 48 meV per atom; ΔE to the lowest computed polymorph = 0.84 kJ per mole of atoms; N(E_F) = 4.31 states/eV per cell
1.0
-2.841 0.464 -0.511
2.122 -0.893 -4.245
-0.718 -5.684 -1.167
Cr W
5 1
Direct
0.026 0.053 0.937
0.366 0.731 0.769
0.694 0.389 0.611
0.023 0.047 0.453
0.362 0.725 0.285
0.694 0.389 0.111

=====

No. 20
H4SeS2 (PBE, optimized geometry); final energy = -3.390 eV/atom; ΔE to the lowest computed polymorph = 23.54 kJ per mole of atoms; N(E_F) = 1.47 states/eV per cell
1.0
3.662 0.000 0.000
0.000 3.662 0.000
1.831 1.831 7.271
H S Se
4 2 1
Direct
0.840 0.840 0.321
0.160 0.160 0.679
0.000 0.500 0.000
0.500 0.000 0.000
0.744 0.744 0.512
0.256 0.256 0.488
0.000 0.000 0.000